Compound: TiCrTe2
Source: Alexandria via LeMat-Bulk
Functional: PBE
Structure: relaxed

Geometry as POSCAR:
```
TiCrTe2
1.0
1.7014 0.9823 8.9178
-1.7014 0.9823 8.9178
0.0000 -1.9646 8.9178
Ti Cr Te
1 1 2
Direct
0.0000 0.0000 0.0000 Ti
0.5000 0.5000 0.5000 Cr
0.4053 0.4053 0.4053 Te
0.5947 0.5947 0.5947 Te
```

Output
- Formation energy (no corrections): 413 meV/atom
- Offset from the most stable computed form: 47.3 kJ/mol of atoms
- Raw total energy: -5.537 eV/atom